# HfTl2Au2 | Alexandria via LeMat-Bulk | GGA-PBE | optimized geometry
data_HfTl2Au2
_chemical_formula_sum 'Hf2 Tl4 Au4'
_cell_length_a 7.1979
_cell_length_b 7.1979
_cell_length_c 4.5927
_cell_angle_alpha 90.00
_cell_angle_beta 90.00
_cell_angle_gamma 90.00
_space_group_name_H-M_alt 'P 4/m b m'
_space_group_IT_number 127
_space_group_name_Hall '-P 4 2ab'
loop_
_atom_site_label
_atom_site_fract_x
_atom_site_fract_y
_atom_site_fract_z
_atom_site_occupancy
Hf1 0.0000 0.0000 0.0000 1
Tl1 0.1766 0.3234 0.5000 1
Au1 0.1363 0.6363 0.0000 1
# - Density of states at the Fermi level: 1.048 states/eV per atom
# - Energy of formation: 0.0783 eV/atom